Record 1
CsYCdCl6: optimized geometry, PBE.

Structure (extended XYZ):
```
9
Lattice="6.999 0.000 0.000 -3.499 6.061 0.000 0.000 0.000 7.719" Properties=species:S:1:pos:R:3 pbc="T T T"
Cs 0.000 0.000 0.000
Y 0.000 4.041 3.859
Cd 3.499 2.020 3.859
Cl -1.329 2.315 2.323
Cl -2.159 3.753 5.396
Cl 1.329 2.315 5.396
Cl -0.830 6.054 2.323
Cl 2.159 3.753 2.323
Cl 0.830 6.054 5.396
```

Results
- E_form (uncorrected) (eV/atom) = -1.8627
- calculated density (g/cm³) = 2.774
- D(E_F) (states/eV per atom) = 0.0000

---

Record 2
AcErN: optimized geometry, PBE.

Structure (extended XYZ):
```
3
Lattice="3.149 -1.799 0.000 3.149 1.799 0.000 -0.849 0.000 6.704" Properties=species:S:1:pos:R:3 pbc="T T T"
Ac 0.000 0.000 0.000
Er 1.253 0.000 3.807
N 3.336 0.000 4.791
```

Results
- E_form (uncorrected) (eV/atom) = -0.8214
- calculated density (g/cm³) = 8.929
- D(E_F) (states/eV per atom) = 1.0265
- energy above the lowest structure with this stoichiometry (eV per atom) = 0.000

---

Record 3
MgCr2NiH: optimized geometry, PBE.

Structure (extended XYZ):
```
5
Lattice="4.513 0.000 0.000 0.000 4.513 0.000 0.000 0.000 4.817" Properties=species:S:1:pos:R:3 pbc="T T T"
Mg 0.000 0.000 0.000
Cr 0.000 2.256 2.408
Cr 2.256 0.000 2.408
Ni 0.000 0.000 2.408
H 2.256 2.256 0.000
```

Results
- uncorrected energy (eV/atom) = -4.799
- calculated density (g/cm³) = 3.182
- D(E_F) (states/eV per atom) = 1.1705